FeSe2N2 PBE optimized geometry; N(E_F) = 1.94 states/eV per cell; ΔE_f (raw) = -0.133 eV per atom; ρ = 3.48 g cm⁻³; distance to the lowest polymorph of the same formula = 0 meV per atom
1.0
-1.780 2.305 -1.749
-1.540 -1.903 2.359
2.604 7.994 7.885
Fe N Se
1 2 2
Cartesian
0.000 0.000 0.000
-2.099 4.028 4.146
1.382 4.368 4.350
-1.404 1.874 0.599
0.687 6.522 7.897